[1]
Compound: Er2MgSn
Source: Alexandria via LeMat-Bulk
Functional: PBE
Structure: optimized geometry

```
Er2MgSn
1.0
1.7193 0.9926 11.4585
-1.7193 0.9926 11.4585
0.0000 -1.9852 11.4585
Er Mg Sn
2 1 1
direct
0.0903 0.0903 0.0903
0.9097 0.9097 0.9097
0.5000 0.5000 0.5000
0.0000 0.0000 0.0000
```

Calculated values
**Formation enthalpy at 0 K**: 0.065 eV per atom

=====

[2]
Compound: In2MoIr
Source: Alexandria via LeMat-Bulk
Functional: PBE
Structure: optimized geometry

```
In2MoIr
1.0
2.9523 0.0000 0.0000
0.0000 4.5468 0.0000
-0.3994 0.0000 5.4273
In Mo Ir
2 1 1
direct
0.1874 0.0000 0.2516
0.8126 0.0000 0.7484
0.5000 0.5000 0.0000
0.0000 0.5000 0.5000
```

Calculated values
**Formation enthalpy at 0 K**: 0.339 eV per atom

=====

[3]
Compound: InFe2Hg
Source: Alexandria via LeMat-Bulk
Functional: PBE
Structure: optimized geometry

```
InFe2Hg
1.0
3.1333 0.0000 0.0000
0.0000 3.1333 0.0000
0.0000 0.0000 7.0292
In Fe Hg
1 2 1
direct
0.0000 0.0000 0.0000
0.0000 0.0000 0.4062
0.5000 0.5000 0.2504
0.5000 0.5000 0.6619
```

Calculated values
**Formation enthalpy at 0 K**: 0.251 eV per atom

=====

[4]
Compound: Ac12Ni5Pb
Source: Alexandria via LeMat-Bulk
Functional: PBE
Structure: optimized geometry

```
Ac12Ni5Pb
1.0
-5.1747 5.3352 5.4810
5.1747 -5.3352 5.4810
5.1747 5.3352 -5.4810
Ac Ni Pb
12 5 1
direct
0.0099 0.1955 0.8144
0.1810 0.3092 0.4903
0.1810 0.6908 0.8718
0.3236 0.0103 0.6867
0.3236 0.6370 0.3133
0.3811 0.1955 0.1856
0.6189 0.8045 0.8144
0.6764 0.3630 0.6867
0.6764 0.9897 0.3133
0.8190 0.3092 0.1282
0.8190 0.6908 0.5097
0.9901 0.8045 0.1856
0.0000 0.0000 0.0000
0.1192 0.6192 0.5000
0.3748 0.0000 0.3748
0.6252 0.0000 0.6252
0.8808 0.3808 0.5000
0.5000 0.5000 0.0000
```

Calculated values
**Formation enthalpy at 0 K**: -0.217 eV per atom

=====

[5]
Compound: Dy4InHg2Au
Source: Alexandria via LeMat-Bulk
Functional: PBE
Structure: optimized geometry

```
Dy4InHg2Au
1.0
2.6209 1.5132 8.5165
-2.6209 1.5132 8.5165
0.0000 -3.0263 8.5165
Dy In Hg Au
4 1 2 1
direct
0.1195 0.1195 0.1195
0.3705 0.3705 0.3705
0.6295 0.6295 0.6295
0.8805 0.8805 0.8805
0.5000 0.5000 0.5000
0.2451 0.2451 0.2451
0.7549 0.7549 0.7549
0.0000 0.0000 0.0000
```

Calculated values
**Formation enthalpy at 0 K**: -0.565 eV per atom

=====

[6]
Compound: CePrSbSe
Source: Alexandria via LeMat-Bulk
Functional: PBE
Structure: optimized geometry

```
CePrSbSe
1.0
4.4013 0.0000 0.0000
0.0000 4.4175 0.0000
0.0000 0.0000 6.2363
Ce Pr Sb Se
1 1 1 1
direct
0.0000 0.0000 0.0000
0.5000 0.5000 0.5000
0.0000 0.0000 0.5000
0.5000 0.5000 0.0000
```

Calculated values
**VASP energy**: -6.038 eV/atom

=====

[7]
Compound: ZrC3
Source: Alexandria via LeMat-Bulk
Functional: PBE
Structure: optimized geometry

```
ZrC3
1.0
4.4379 0.0000 0.0000
0.0000 4.6774 0.0000
0.0000 0.0000 3.9297
Zr C
2 6
direct
0.2500 0.2500 0.0764
0.7500 0.7500 0.9236
0.0964 0.7500 0.3796
0.2500 0.7500 0.7287
0.4036 0.7500 0.3796
0.5964 0.2500 0.6204
0.7500 0.2500 0.2713
0.9036 0.2500 0.6204
```

Calculated values
**Formation enthalpy at 0 K**: 0.630 eV per atom

=====

[8]
Compound: PmPIO4
Source: Alexandria via LeMat-Bulk
Functional: PBE
Structure: optimized geometry

```
PmPIO4
1.0
5.7771 -3.1931 0.0000
5.7771 3.1931 0.0000
-1.1562 0.0000 6.6111
Pm P I O
2 2 2 8
direct
0.1980 0.1980 0.3153
0.8020 0.8020 0.6847
0.1355 0.1355 0.7527
0.8645 0.8645 0.2473
0.4657 0.4657 0.7999
0.5343 0.5343 0.2001
0.0015 0.0015 0.7309
0.0137 0.6288 0.3643
0.1944 0.1944 0.9755
0.3712 0.9863 0.6357
0.6288 0.0137 0.3643
0.8056 0.8056 0.0245
0.9863 0.3712 0.6357
0.9985 0.9985 0.2691
```

Calculated values
**VASP energy**: -6.907 eV/atom

=====

Q: Which formula does entry 1 have?
A: Er2MgSn